# PrTm12Sn6

Crystalline PrTm12Sn6 at its relaxed geometry (GGA-PBE, Alexandria via LeMat-Bulk).

## Properties
Total magnetic moment, μB per atom: 0.000
Raw total energy, eV for the cell shown: -88.3
Space-group type: R-3m (166)

a = 8.7372 Å, b = 8.7372 Å, c = 8.7372 Å
α = 104.00°, β = 104.00°, γ = 104.00°
Element x y z (fractional)
Tm 0.5000 0.1266 0.8734
Tm 0.1763 0.4382 0.4382
Tm 0.1266 0.8734 0.5000
Tm 0.8237 0.5618 0.5618
Sn 0.2428 0.6952 0.2428
Tm 0.8734 0.1266 0.5000
Sn 0.3048 0.7572 0.7572
Sn 0.7572 0.3048 0.7572
Sn 0.2428 0.2428 0.6952
Tm 0.4382 0.4382 0.1763
Tm 0.5618 0.8237 0.5618
Tm 0.5618 0.5618 0.8237
Pr 0.0000 0.0000 0.0000
Tm 0.1266 0.5000 0.8734
Tm 0.8734 0.5000 0.1266
Tm 0.5000 0.8734 0.1266
Sn 0.7572 0.7572 0.3048
Sn 0.6952 0.2428 0.2428
Tm 0.4382 0.1763 0.4382

***

# PrTmSn

Crystalline PrTmSn at its relaxed geometry (GGA-PBE, Alexandria via LeMat-Bulk).

## Properties
Total magnetic moment, μB per atom: 0.000
Raw total energy, eV for the cell shown: -14.4
Space-group type: F-43m (216)

a = 5.2075 Å, b = 5.2075 Å, c = 5.2075 Å
α = 60.00°, β = 60.00°, γ = 60.00°
Element x y z (fractional)
Tm 0.0000 0.0000 0.0000
Pr 0.5000 0.5000 0.5000
Sn 0.2500 0.2500 0.2500

***

# PrTmSn

Crystalline PrTmSn at its relaxed geometry (GGA-PBE, Alexandria via LeMat-Bulk).

## Properties
Total magnetic moment, μB per atom: 0.000
Raw total energy, eV for the cell shown: -14.5
Space-group type: I4mm (107)

a = 3.5911 Å, b = 3.5911 Å, c = 7.4449 Å
α = 103.96°, β = 103.96°, γ = 90.00°
Element x y z (fractional)
Tm 0.6835 0.6835 0.3670
Sn 0.3284 0.3284 0.6568
Pr 0.9881 0.9881 0.9761

***

# Pr9TmSn2

Crystalline Pr9TmSn2 at its relaxed geometry (GGA-PBE, Alexandria via LeMat-Bulk).

## Properties
Total magnetic moment, μB per atom: 0.000
Raw total energy, eV for the cell shown: -58.9
Space-group type: P4/mmm (123)

a = 5.0236 Å, b = 5.0236 Å, c = 15.3904 Å
α = 90.00°, β = 90.00°, γ = 90.00°
Element x y z (fractional)
Pr 0.0000 0.5000 0.1745
Sn 0.0000 0.0000 0.6627
Pr 0.5000 0.5000 0.3382
Sn 0.0000 0.0000 0.3373
Pr 0.0000 0.5000 0.8255
Pr 0.0000 0.5000 0.5000
Pr 0.5000 0.0000 0.5000
Pr 0.5000 0.5000 0.0000
Pr 0.5000 0.0000 0.8255
Tm 0.0000 0.0000 0.0000
Pr 0.5000 0.0000 0.1745
Pr 0.5000 0.5000 0.6618

***

# Pr12TmSn3

Crystalline Pr12TmSn3 at its relaxed geometry (GGA-PBE, Alexandria via LeMat-Bulk).

## Properties
Total magnetic moment, μB per atom: 0.000
Raw total energy, eV for the cell shown: -79.0
Space-group type: P4/mmm (123)

a = 5.0167 Å, b = 5.0167 Å, c = 20.3545 Å
α = 90.00°, β = 90.00°, γ = 90.00°
Element x y z (fractional)
Pr 0.5000 0.5000 0.0000
Pr 0.5000 0.5000 0.2558
Pr 0.0000 0.5000 0.1320
Sn 0.0000 0.0000 0.7451
Sn 0.0000 0.0000 0.5000
Pr 0.5000 0.0000 0.3781
Pr 0.0000 0.5000 0.6219
Pr 0.5000 0.5000 0.5000
Pr 0.5000 0.0000 0.6219
Tm 0.0000 0.0000 0.0000
Pr 0.0000 0.5000 0.3781
Pr 0.5000 0.0000 0.1320
Pr 0.5000 0.5000 0.7442
Pr 0.0000 0.5000 0.8680
Sn 0.0000 0.0000 0.2549
Pr 0.5000 0.0000 0.8680

***

# PrTm2Sn

Crystalline PrTm2Sn at its relaxed geometry (GGA-PBE, Alexandria via LeMat-Bulk).

## Properties
Total magnetic moment, μB per atom: 0.000
Raw total energy, eV for the cell shown: -18.9
Space-group type: P4/mmm (123)

a = 3.7642 Å, b = 3.7642 Å, c = 8.3963 Å
α = 90.00°, β = 90.00°, γ = 90.00°
Element x y z (fractional)
Tm 0.0000 0.0000 0.2132
Tm 0.0000 0.0000 0.7868
Sn 0.5000 0.5000 0.0000
Pr 0.5000 0.5000 0.5000